Compound: Li4Fe2O5
Source: Alexandria via LeMat-Bulk
Functional: GGA+U
Structure: optimized geometry

Cell and atoms, written as POSCAR:
```
Li4Fe2O5
1.0
8.531 0.000 0.000
0.000 5.223 0.000
-3.590 0.000 10.572
Li Fe O
16 8 20
direct
0.001 0.171 0.412
0.001 0.329 0.912
0.383 0.129 0.507
0.383 0.371 0.007
0.383 0.660 0.174
0.383 0.840 0.674
0.484 0.510 0.379
0.484 0.990 0.879
0.516 0.010 0.121
0.516 0.490 0.621
0.617 0.160 0.326
0.617 0.340 0.826
0.617 0.629 0.993
0.617 0.871 0.493
0.999 0.671 0.088
0.999 0.829 0.588
0.191 0.666 0.384
0.191 0.834 0.884
0.208 0.164 0.213
0.208 0.336 0.713
0.792 0.664 0.287
0.792 0.836 0.787
0.809 0.166 0.116
0.809 0.334 0.616
0.007 0.220 0.588
0.007 0.280 0.088
0.199 0.706 0.724
0.199 0.794 0.224
0.205 0.203 0.875
0.205 0.297 0.375
0.397 0.750 0.005
0.397 0.750 0.505
0.404 0.216 0.690
0.404 0.284 0.190
0.596 0.716 0.810
0.596 0.784 0.310
0.603 0.250 0.495
0.603 0.250 0.995
0.795 0.703 0.625
0.795 0.797 0.125
0.801 0.206 0.776
0.801 0.294 0.276
0.993 0.720 0.912
0.993 0.780 0.412
```

Results
Total energy: -250.78 eV per cell
Crystal system: monoclinic